# LiGeBiPd

LiGeBiPd after structural relaxation (GGA-PBE, Alexandria).

Properties
Fermi-level density of states = 1.80 states/eV/cell
calculated formation energy = -263 meV per atom

Lattice parameters (Å, degrees): 4.769 4.769 4.769 60.00 60.00 60.00
Fractional coordinates of all 4 atoms:
Li 0.000 0.000 0.000
Ge 0.250 0.250 0.250
Bi 0.750 0.750 0.750
Pd 0.500 0.500 0.500